Below is an optimized crystal structure of MgReRh, with properties calculated at the PBE level.

Lattice parameters (Å, degrees): 7.261 7.261 3.043 90.00 90.00 145.40
Element x y z (fractional)
1 Mg 0.173 0.827 0.000
2 Mg 0.827 0.173 0.000
3 Re 0.000 0.000 0.500
4 Re 0.500 0.500 0.000
5 Rh 0.339 0.661 0.500
6 Rh 0.661 0.339 0.500

Computed properties:
Formation enthalpy at 0 K = -98 meV/atom
Energy above the most stable polymorph in this dataset = 0.048 eV per atom
DFT total energy = -43.37 eV per cell
Space-group type = Cmmm, No. 65